# K4CeY3S8 PBE-GGA optimized geometry
# Size of the total moment   0.063 μB per atom
# Total energy   -5.78 eV per atom
# Space group   R-3m, No. 166
data_K4CeY3S8
_cell_length_a 8.200
_cell_length_b 8.757
_cell_length_c 8.200
_cell_angle_alpha 117.93
_cell_angle_beta 120.00
_cell_angle_gamma 90.00
_symmetry_space_group_name_H-M 'P 1'
_symmetry_Int_Tables_number 1
_symmetry_space_group_name_Hall 'P 1'
loop_
_atom_site_label
_atom_site_type_symbol
_atom_site_fract_x
_atom_site_fract_y
_atom_site_fract_z
_atom_site_occupancy
S1 S 0.734 0.702 0.468 1
S2 S 0.762 0.296 0.034 1
S3 S 0.728 0.704 0.966 1
S4 S 0.272 0.296 0.034 1
S5 S 0.238 0.704 0.476 1
S6 S 0.762 0.296 0.524 1
S7 S 0.266 0.298 0.532 1
S8 S 0.238 0.704 0.966 1
Y1 Y 0.500 0.500 0.000 1
Y2 Y 0.500 0.500 0.500 1
Y3 Y 0.000 0.500 0.500 1
K1 K 0.000 0.000 0.000 1
K2 K 0.500 0.000 0.500 1
K3 K 0.500 0.000 0.000 1
K4 K 0.000 0.000 0.500 1
Ce1 Ce 0.000 0.500 0.000 1


# Ba2NpAuO6 PBE-GGA optimized geometry
# Size of the total moment   0.201 μB per atom
# Total energy   -7.30 eV per atom
# Space group   C2/m, No. 12
data_Ba2NpAuO6
_cell_length_a 5.915
_cell_length_b 5.867
_cell_length_c 6.417
_cell_angle_alpha 117.20
_cell_angle_beta 116.48
_cell_angle_gamma 90.00
_symmetry_space_group_name_H-M 'P 1'
_symmetry_Int_Tables_number 1
_symmetry_space_group_name_Hall 'P 1'
loop_
_atom_site_label
_atom_site_type_symbol
_atom_site_fract_x
_atom_site_fract_y
_atom_site_fract_z
_atom_site_occupancy
O1 O 0.196 0.700 0.895 1
O2 O 0.196 0.195 0.895 1
O3 O 0.804 0.300 0.105 1
O4 O 0.804 0.805 0.105 1
O5 O 0.723 0.306 0.612 1
O6 O 0.277 0.694 0.388 1
Au1 Au 0.500 0.000 0.000 1
Ba1 Ba 0.772 0.752 0.504 1
Ba2 Ba 0.228 0.248 0.496 1
Np1 Np 0.000 0.500 0.000 1


# Tc2IrAu PBE-GGA optimized geometry
# Size of the total moment   0.000 μB per atom
# Total energy   -8.00 eV per atom
# Space group   Cmmm, No. 65
# Relative energy among the computed polymorphs   110 meV per atom
data_Tc2IrAu
_cell_length_a 4.856
_cell_length_b 4.856
_cell_length_c 2.764
_cell_angle_alpha 90.00
_cell_angle_beta 90.00
_cell_angle_gamma 111.38
_symmetry_space_group_name_H-M 'P 1'
_symmetry_Int_Tables_number 1
_symmetry_space_group_name_Hall 'P 1'
loop_
_atom_site_label
_atom_site_type_symbol
_atom_site_fract_x
_atom_site_fract_y
_atom_site_fract_z
_atom_site_occupancy
Tc1 Tc 0.500 0.500 0.000 1
Tc2 Tc 0.000 0.000 0.000 1
Ir1 Ir 0.000 0.500 0.500 1
Au1 Au 0.500 0.000 0.500 1


# CsTa2C PBE-GGA optimized geometry
# Size of the total moment   0.000 μB per atom
# Total energy   -7.29 eV per atom
# Space group   Fd-3m, No. 227
data_CsTa2C
_cell_length_a 6.705
_cell_length_b 6.705
_cell_length_c 6.705
_cell_angle_alpha 60.00
_cell_angle_beta 60.00
_cell_angle_gamma 90.00
_symmetry_space_group_name_H-M 'P 1'
_symmetry_Int_Tables_number 1
_symmetry_space_group_name_Hall 'P 1'
loop_
_atom_site_label
_atom_site_type_symbol
_atom_site_fract_x
_atom_site_fract_y
_atom_site_fract_z
_atom_site_occupancy
Ta1 Ta 0.375 0.625 0.250 1
Ta2 Ta 0.875 0.625 0.750 1
Ta3 Ta 0.375 0.625 0.750 1
Ta4 Ta 0.375 0.125 0.250 1
Cs1 Cs 0.750 0.250 0.500 1
Cs2 Cs 0.000 0.000 0.000 1
C1 C 0.500 0.500 0.000 1
C2 C 0.250 0.750 0.500 1


# CsBaSi2S PBE-GGA optimized geometry
# Size of the total moment   0.000 μB per atom
# Total energy   -3.38 eV per atom
# Space group   P4/mmm, No. 123
data_CsBaSi2S
_cell_length_a 5.261
_cell_length_b 5.817
_cell_length_c 5.261
_cell_angle_alpha 90.00
_cell_angle_beta 90.00
_cell_angle_gamma 90.00
_symmetry_space_group_name_H-M 'P 1'
_symmetry_Int_Tables_number 1
_symmetry_space_group_name_Hall 'P 1'
loop_
_atom_site_label
_atom_site_type_symbol
_atom_site_fract_x
_atom_site_fract_y
_atom_site_fract_z
_atom_site_occupancy
S1 S 0.000 0.000 0.000 1
Si1 Si 0.500 0.000 0.000 1
Si2 Si 0.000 0.000 0.500 1
Ba1 Ba 0.000 0.500 0.000 1
Cs1 Cs 0.500 0.500 0.500 1


# K2LaInSe PBE-GGA optimized geometry
# Size of the total moment   0.033 μB per atom
# Total energy   -2.29 eV per atom
# Space group   P4/mmm, No. 123
data_K2LaInSe
_cell_length_a 6.466
_cell_length_b 5.585
_cell_length_c 6.466
_cell_angle_alpha 90.00
_cell_angle_beta 90.00
_cell_angle_gamma 90.00
_symmetry_space_group_name_H-M 'P 1'
_symmetry_Int_Tables_number 1
_symmetry_space_group_name_Hall 'P 1'
loop_
_atom_site_label
_atom_site_type_symbol
_atom_site_fract_x
_atom_site_fract_y
_atom_site_fract_z
_atom_site_occupancy
K1 K 0.500 0.000 0.000 1
K2 K 0.000 0.000 0.500 1
La1 La 0.500 0.500 0.500 1
In1 In 0.000 0.000 0.000 1
Se1 Se 0.000 0.500 0.000 1


no.,Fermi-level density of states (states/eV/cell)
1,4.860
2,1.428
3,4.890
4,3.623
5,3.179
6,11.605